First-principles (PBE+U) data for a relaxed structure of K2LiMnO4, as listed in the Alexandria database.

Cell: 4.8187 11.4090 19.7587 Å, 90.00 90.00 90.00°
Space group Fddd (No. 70, origin choice 2)
Unique sites:
K (0.1250, 0.1250, 0.2989) (multiplicity 16)
Li (0.1250, 0.1250, 0.1250) (multiplicity 8)
Mn (0.1250, 0.1250, 0.6250) (multiplicity 8)
O (0.0942, 0.2878, 0.8280) (multiplicity 32)

The calculation puts the total energy at -5.386 eV per atom. The magnetization comes out at 16.00 μB/cell.